[1]
A relaxed structure of NaB2CI, computed with GGA-PBE.

raw formation energy = 134.1 kJ/mol of atoms

a b c (Å): 3.667 3.667 6.279
angles (deg): 90.00 90.00 90.00
Space group P4/mmm (No. 123)
Inequivalent atoms, fractional coordinates:
Na 0.000 0.000 0.000 x1
B 0.000 0.500 0.500 x2
C 0.000 0.000 0.500 x1
I 0.500 0.500 0.000 x1


[2]
A relaxed structure of BPCI2, computed with GGA-PBE.

raw formation energy = 180.0 kJ/mol of atoms

a b c (Å): 5.477 5.477 3.667
angles (deg): 90.00 90.00 90.00
Space group P4/mmm (No. 123)
Inequivalent atoms, fractional coordinates:
B 0.000 0.000 0.000 x1
P 0.500 0.500 0.000 x1
C 0.500 0.500 0.500 x1
I 0.000 0.500 0.500 x2


[3]
A relaxed structure of Rb2BCI6, computed with GGA-PBE.

raw formation energy = 16.9 kJ/mol of atoms

a b c (Å): 7.333 7.333 12.583
angles (deg): 90.00 90.00 90.00
Space group I4/mmm (No. 139)
Inequivalent atoms, fractional coordinates:
Rb 0.000 0.500 0.250 x4
B 0.000 0.000 0.000 x2
C 0.000 0.000 0.500 x2
I 0.000 0.000 0.283 x4
I 0.241 0.241 0.000 x8


[4]
A relaxed structure of Re2BCI, computed with GGA-PBE.

raw formation energy = 377.1 kJ/mol of atoms

a b c (Å): 4.897 4.897 3.944
angles (deg): 90.00 90.00 90.00
Space group P4/mmm (No. 123)
Inequivalent atoms, fractional coordinates:
Re 0.000 0.500 0.000 x2
B 0.000 0.000 0.500 x1
C 0.500 0.500 0.500 x1
I 0.500 0.500 0.000 x1


[5]
A relaxed structure of BSbCI2, computed with GGA-PBE.

raw formation energy = 182.6 kJ/mol of atoms
distance to the lowest polymorph of the same formula = 0 meV/atom

a b c (Å): 5.132 5.132 4.644
angles (deg): 90.00 90.00 90.00
Space group P4/mmm (No. 123)
Inequivalent atoms, fractional coordinates:
B 0.000 0.000 0.000 x1
Sb 0.500 0.500 0.000 x1
C 0.500 0.500 0.500 x1
I 0.000 0.500 0.500 x2


[6]
A relaxed structure of BSb2CI, computed with GGA-PBE.

raw formation energy = 177.3 kJ/mol of atoms
distance to the lowest polymorph of the same formula = 0 meV/atom

a b c (Å): 4.729 4.729 4.993
angles (deg): 90.00 90.00 90.00
Space group P4/mmm (No. 123)
Inequivalent atoms, fractional coordinates:
B 0.000 0.000 0.000 x1
Sb 0.000 0.500 0.500 x2
C 0.500 0.500 0.500 x1
I 0.500 0.500 0.000 x1


[7]
A relaxed structure of B2SbCI, computed with GGA-PBE.

raw formation energy = 314.6 kJ/mol of atoms

a b c (Å): 4.332 4.332 6.132
angles (deg): 90.00 90.00 90.00
Space group P4/mmm (No. 123)
Inequivalent atoms, fractional coordinates:
B 0.000 0.500 0.000 x2
Sb 0.000 0.000 0.500 x1
C 0.500 0.500 0.500 x1
I 0.000 0.000 0.000 x1


[8]
A relaxed structure of Ta2BCI, computed with GGA-PBE.

raw formation energy = 65.4 kJ/mol of atoms

a b c (Å): 4.671 4.671 3.180
angles (deg): 90.00 90.00 90.00
Space group P4/mmm (No. 123)
Inequivalent atoms, fractional coordinates:
Ta 0.000 0.500 0.000 x2
B 0.000 0.000 0.500 x1
C 0.000 0.000 0.000 x1
I 0.500 0.500 0.500 x1


[9]
A relaxed structure of BTeCI2, computed with GGA-PBE.

raw formation energy = 180.8 kJ/mol of atoms
distance to the lowest polymorph of the same formula = 0 meV/atom

a b c (Å): 5.133 5.133 4.672
angles (deg): 90.00 90.00 90.00
Space group P4/mmm (No. 123)
Inequivalent atoms, fractional coordinates:
B 0.000 0.000 0.000 x1
Te 0.500 0.500 0.000 x1
C 0.500 0.500 0.500 x1
I 0.000 0.500 0.500 x2


[10]
A relaxed structure of BTe2CI, computed with GGA-PBE.

raw formation energy = 178.7 kJ/mol of atoms
distance to the lowest polymorph of the same formula = 0 meV/atom

a b c (Å): 4.778 4.778 5.003
angles (deg): 90.00 90.00 90.00
Space group P4/mmm (No. 123)
Inequivalent atoms, fractional coordinates:
B 0.000 0.000 0.000 x1
Te 0.000 0.500 0.500 x2
C 0.500 0.500 0.500 x1
I 0.500 0.500 0.000 x1


[11]
A relaxed structure of VBCI2, computed with GGA-PBE.

raw formation energy = 185.8 kJ/mol of atoms
distance to the lowest polymorph of the same formula = 855 meV/atom

a b c (Å): 5.345 5.345 4.140
angles (deg): 90.00 90.00 90.00
Space group P4/mmm (No. 123)
Inequivalent atoms, fractional coordinates:
V 0.000 0.000 0.000 x1
B 0.000 0.000 0.500 x1
C 0.500 0.500 0.500 x1
I 0.000 0.500 0.000 x2


[12]
A relaxed structure of VBCI2, computed with GGA-PBE.

raw formation energy = 103.3 kJ/mol of atoms
distance to the lowest polymorph of the same formula = 0 meV/atom

a b c (Å): 6.494 6.494 2.898
angles (deg): 90.00 90.00 90.00
Space group P4/mmm (No. 123)
Inequivalent atoms, fractional coordinates:
V 0.000 0.000 0.000 x1
B 0.500 0.500 0.000 x1
C 0.500 0.500 0.500 x1
I 0.000 0.500 0.500 x2


[13]
A relaxed structure of Y21B7C14I18, computed with GGA-PBE.

raw formation energy = -87.3 kJ/mol of atoms

a b c (Å): 11.491 15.648 18.539
angles (deg): 82.42 85.95 83.78
Space group P-1 (No. 2)
Inequivalent atoms, fractional coordinates:
Y 0.076 0.131 0.208 x2
Y 0.090 0.269 0.350 x2
Y 0.098 0.241 0.997 x2
Y 0.102 0.926 0.355 x2
Y 0.102 0.996 0.064 x2
Y 0.103 0.356 0.791 x2
Y 0.107 0.414 0.490 x2
Y 0.109 0.072 0.497 x2
Y 0.111 0.484 0.936 x2
Y 0.113 0.374 0.149 x2
Y 0.114 0.216 0.644 x2
Y 0.115 0.776 0.220 x2
Y 0.123 0.559 0.630 x2
Y 0.134 0.522 0.291 x2
Y 0.135 0.621 0.084 x2
Y 0.137 0.105 0.847 x2
Y 0.137 0.671 0.425 x2
Y 0.146 0.856 0.912 x2
Y 0.148 0.706 0.764 x2
Y 0.156 0.816 0.557 x2
Y 0.162 0.961 0.700 x2
B 0.002 0.034 0.777 x2
B 0.006 0.245 0.497 x2
B 0.009 0.895 0.639 x2
B 0.016 0.391 0.636 x2
B 0.025 0.533 0.775 x2
B 0.034 0.824 0.077 x2
B 0.047 0.675 0.923 x2
C 0.001 0.889 0.015 x2
C 0.004 0.617 0.729 x2
C 0.004 0.745 0.124 x2
C 0.007 0.610 0.981 x2
C 0.016 0.529 0.411 x2
C 0.022 0.525 0.162 x2
C 0.022 0.821 0.442 x2
C 0.026 0.751 0.870 x2
C 0.027 0.672 0.303 x2
C 0.028 0.114 0.730 x2
C 0.031 0.968 0.584 x2
C 0.037 0.675 0.549 x2
C 0.044 0.968 0.837 x2
C 0.054 0.822 0.690 x2
I 0.267 0.089 0.336 x2
I 0.280 0.235 0.489 x2
I 0.282 0.928 0.188 x2
I 0.289 0.375 0.651 x2
I 0.290 0.193 0.109 x2
I 0.305 0.523 0.818 x2
I 0.307 0.256 0.883 x2
I 0.307 0.355 0.265 x2
I 0.312 0.458 0.045 x2
I 0.318 0.990 0.951 x2
I 0.324 0.632 0.205 x2
I 0.325 0.514 0.427 x2
I 0.328 0.723 0.995 x2
I 0.328 0.797 0.403 x2
I 0.333 0.101 0.720 x2
I 0.336 0.952 0.559 x2
I 0.337 0.669 0.625 x2
I 0.344 0.828 0.785 x2


[14]
A relaxed structure of ZrBCI2, computed with GGA-PBE.

raw formation energy = 85.0 kJ/mol of atoms

a b c (Å): 5.809 5.809 3.032
angles (deg): 90.00 90.00 90.00
Space group P4/mmm (No. 123)
Inequivalent atoms, fractional coordinates:
Zr 0.000 0.000 0.000 x1
B 0.500 0.500 0.500 x1
C 0.500 0.500 0.000 x1
I 0.000 0.500 0.500 x2


[15]
A relaxed structure of InB2C, computed with GGA-PBE.

energy relative to the elements = 2.621 eV per atom

a b c (Å): 5.746 5.746 5.746
angles (deg): 90.00 90.00 90.00
Space group Fm-3m (No. 225)
Inequivalent atoms, fractional coordinates:
In 0.000 0.000 0.000 x4
B 0.250 0.250 0.250 x8
C 0.000 0.000 0.500 x4


[16]
A relaxed structure of In3BC, computed with GGA-PBE.

distance to the lowest polymorph of the same formula = 0 meV/atom
energy relative to the elements = 1.512 eV per atom

a b c (Å): 4.644 4.644 4.644
angles (deg): 90.00 90.00 90.00
Space group Pm-3m (No. 221)
Inequivalent atoms, fractional coordinates:
In 0.000 0.000 0.500 x3
B 0.500 0.500 0.500 x1
C 0.000 0.000 0.000 x1


[17]
A relaxed structure of InB2C, computed with GGA-PBE.

energy relative to the elements = 0.747 eV per atom

a b c (Å): 4.816 4.816 7.823
angles (deg): 90.00 90.00 90.00
Space group I-42d (No. 122)
Inequivalent atoms, fractional coordinates:
In 0.000 0.000 0.000 x4
B 0.115 0.250 0.625 x8
C 0.000 0.000 0.500 x4


[18]
A relaxed structure of In2BC, computed with GGA-PBE.

distance to the lowest polymorph of the same formula = 0 meV/atom
energy relative to the elements = 1.314 eV per atom

a b c (Å): 5.573 5.573 9.463
angles (deg): 90.00 90.00 90.00
Space group I-42d (No. 122)
Inequivalent atoms, fractional coordinates:
In 0.224 0.250 0.125 x8
B 0.000 0.000 0.500 x4
C 0.000 0.000 0.000 x4


[19]
A relaxed structure of In2BC, computed with GGA-PBE.

distance to the lowest polymorph of the same formula = 476 meV/atom
energy relative to the elements = 1.790 eV per atom

a b c (Å): 6.257 6.257 6.257
angles (deg): 90.00 90.00 90.00
Space group Fm-3m (No. 225)
Inequivalent atoms, fractional coordinates:
In 0.250 0.250 0.250 x8
B 0.000 0.000 0.000 x4
C 0.000 0.000 0.500 x4


[20]
A relaxed structure of InBC2, computed with GGA-PBE.

distance to the lowest polymorph of the same formula = 0 meV/atom
energy relative to the elements = 0.998 eV per atom

a b c (Å): 4.265 4.265 9.466
angles (deg): 90.00 90.00 90.00
Space group I-42d (No. 122)
Inequivalent atoms, fractional coordinates:
In 0.000 0.000 0.000 x4
B 0.000 0.000 0.500 x4
C 0.106 0.250 0.625 x8


[21]
A relaxed structure of InBC2, computed with GGA-PBE.

distance to the lowest polymorph of the same formula = 1833 meV/atom
energy relative to the elements = 2.831 eV per atom

a b c (Å): 5.586 5.586 5.586
angles (deg): 90.00 90.00 90.00
Space group Fm-3m (No. 225)
Inequivalent atoms, fractional coordinates:
In 0.000 0.000 0.000 x4
B 0.000 0.000 0.500 x4
C 0.250 0.250 0.250 x8


[22]
A relaxed structure of K2InBC, computed with GGA-PBE.

energy relative to the elements = 0.229 eV per atom

a b c (Å): 6.661 6.661 2.909
angles (deg): 90.00 90.00 90.00
Space group P4/mmm (No. 123)
Inequivalent atoms, fractional coordinates:
K 0.000 0.500 0.000 x2
In 0.000 0.000 0.500 x1
B 0.500 0.500 0.500 x1
C 0.500 0.500 0.000 x1


Number 1: uncorrected energy -18.498 eV/cell, spin magnetization 0.0 μB/cell. Number 2: uncorrected energy -15.086 eV/cell, spin magnetization 0.0 μB/cell. Number 3: uncorrected energy -50.773 eV/cell, spin magnetization 0.0 μB/cell. Number 4: uncorrected energy -22.807 eV/cell, spin magnetization 0.0 μB/cell. Number 5: uncorrected energy -13.661 eV/cell, spin magnetization 0.0 μB/cell. Number 6: uncorrected energy -16.511 eV/cell, spin magnetization 0.0 μB/cell. Number 7: uncorrected energy -11.946 eV/cell, spin magnetization 0.2 μB/cell. Number 8: uncorrected energy -37.768 eV/cell, spin magnetization 0.0 μB/cell. Number 9: uncorrected energy -12.775 eV/cell, spin magnetization 0.0 μB/cell. Number 10: uncorrected energy -14.473 eV/cell, spin magnetization 0.3 μB/cell. Number 11: uncorrected energy -18.492 eV/cell, spin magnetization 3.4 μB/cell. Number 12: uncorrected energy -22.766 eV/cell, spin magnetization 3.6 μB/cell. Number 13: uncorrected energy -787.633 eV/cell, spin magnetization 0.0 μB/cell. Number 14: uncorrected energy -23.147 eV/cell, spin magnetization 0.0 μB/cell. Number 15: uncorrected energy -59.337 eV/cell, spin magnetization 0.0 μB/cell. Number 16: uncorrected energy -16.556 eV/cell, spin magnetization 0.0 μB/cell. Number 17: uncorrected energy -89.323 eV/cell, spin magnetization 0.0 μB/cell. Number 18: uncorrected energy -64.488 eV/cell, spin magnetization 0.0 μB/cell. Number 19: uncorrected energy -56.880 eV/cell, spin magnetization 0.0 μB/cell. Number 20: uncorrected energy -95.488 eV/cell, spin magnetization 0.0 μB/cell. Number 21: uncorrected energy -66.166 eV/cell, spin magnetization 0.0 μB/cell. Number 22: uncorrected energy -19.691 eV/cell, spin magnetization 0.0 μB/cell.